Material: La3NdTh2Te6
Method: DFT, PBE
State: relaxed

a b c (Å): 7.852 13.522 7.855
angles (deg): 90.00 109.29 90.00
Space group C2/m (No. 12)
Symmetry-distinct sites (fractional):
La  0.000  0.000  0.000 [2 per cell]
La  0.000  0.335  0.000 [4 per cell]
Nd  0.000  0.500  0.500 [2 per cell]
Th  0.000  0.167  0.500 [4 per cell]
Te  0.248  0.000  0.744 [4 per cell]
Te  0.249  0.333  0.746 [8 per cell]

Computed properties:
Total magnetization (μB/f.u.): 0.000
Formation energy (no corrections) (meV per atom): -1366

---

Material: La2NdTh3Te6
Method: DFT, PBE
State: relaxed

a b c (Å): 19.829 4.550 8.933
angles (deg): 90.00 105.31 90.00
Space group C2/m (No. 12)
Symmetry-distinct sites (fractional):
La  0.166  0.000  0.332 [4 per cell]
Nd  0.000  0.500  0.000 [2 per cell]
Th  0.000  0.500  0.500 [2 per cell]
Th  0.168  0.000  0.833 [4 per cell]
Te  0.002  0.000  0.752 [4 per cell]
Te  0.166  0.500  0.079 [4 per cell]
Te  0.166  0.500  0.584 [4 per cell]

Computed properties:
Total magnetization (μB/f.u.): 0.000
Formation energy (no corrections) (meV per atom): -1263